1.
Computed, not measured: a relaxed structure of LaTmB12 at the PBE level of DFT.

abc: 5.827 5.827 5.827
angles: 60.00 60.00 60.00
Element x y z (fractional)
La (0.000, 0.000, 0.000)
Tm (0.500, 0.500, 0.500)
B (0.100, 0.100, 0.400)
B (0.100, 0.400, 0.100)
B (0.100, 0.400, 0.400)
B (0.400, 0.100, 0.100)
B (0.400, 0.100, 0.400)
B (0.400, 0.400, 0.100)
B (0.600, 0.600, 0.900)
B (0.600, 0.900, 0.600)
B (0.600, 0.900, 0.900)
B (0.900, 0.600, 0.600)
B (0.900, 0.600, 0.900)
B (0.900, 0.900, 0.600)

Computed properties:
For the formation energy, the calculation gives -0.454 eV/atom.


2.
Computed, not measured: a relaxed structure of V6IrN at the PBE level of DFT.

abc: 4.373 4.986 5.015
angles: 96.61 111.44 91.53
Element x y z (fractional)
V (0.069, 0.293, 0.157)
V (0.198, 0.848, 0.427)
V (0.417, 0.411, 0.744)
V (0.583, 0.589, 0.256)
V (0.802, 0.152, 0.573)
V (0.931, 0.707, 0.843)
Ir (0.500, 0.000, 0.000)
N (0.000, 0.500, 0.500)

Computed properties:
For the raw total energy, the calculation gives -76.0 eV for the cell shown.


3.
Computed, not measured: a relaxed structure of Pm2Pr2Y5 at the PBE level of DFT.

abc: 3.657 8.994 9.650
angles: 94.26 100.91 101.70
Element x y z (fractional)
Pm (0.131, 0.335, 0.428)
Pm (0.869, 0.665, 0.572)
Pr (0.165, 0.999, 0.832)
Pr (0.835, 0.001, 0.168)
Y (0.203, 0.665, 0.239)
Y (0.464, 0.336, 0.092)
Y (0.500, 0.000, 0.500)
Y (0.536, 0.664, 0.908)
Y (0.797, 0.335, 0.761)

Computed properties:
The energy above the most stable polymorph in this dataset is 0.0 meV per atom. For the formation energy, the calculation gives -0.001 eV/atom.


4.
Computed, not measured: a relaxed structure of Ce3B3C2 at the PBE level of DFT.

abc: 7.961 7.961 5.120
angles: 108.68 108.68 21.31
Element x y z (fractional)
Ce (0.000, 0.000, 0.000)
Ce (0.161, 0.161, 0.661)
Ce (0.839, 0.839, 0.339)
B (0.342, 0.342, 0.842)
B (0.500, 0.500, 0.500)
B (0.658, 0.658, 0.158)
C (0.188, 0.188, 0.189)
C (0.812, 0.812, 0.811)

Computed properties:
For the formation energy, the calculation gives -0.196 eV/atom.


5.
Computed, not measured: a relaxed structure of K2Tl3Cd4In at the PBE level of DFT.

abc: 4.942 4.942 12.911
angles: 90.00 90.00 90.00
Element x y z (fractional)
K (0.000, 0.500, 0.250)
K (0.500, 0.000, 0.750)
Tl (0.000, 0.000, 0.000)
Tl (0.000, 0.500, 0.636)
Tl (0.500, 0.000, 0.364)
Cd (0.000, 0.000, 0.500)
Cd (0.000, 0.500, 0.864)
Cd (0.500, 0.000, 0.136)
Cd (0.500, 0.500, 0.500)
In (0.500, 0.500, 0.000)

Computed properties:
For the formation energy, the calculation gives -0.052 eV/atom.


6.
Computed, not measured: a relaxed structure of Pr6Mg5Tl at the PBE level of DFT.

abc: 8.777 8.777 7.810
angles: 90.00 90.00 143.22
Element x y z (fractional)
Pr (0.000, 0.000, 0.250)
Pr (0.000, 0.000, 0.750)
Pr (0.333, 0.667, 0.248)
Pr (0.333, 0.667, 0.752)
Pr (0.667, 0.333, 0.248)
Pr (0.667, 0.333, 0.752)
Mg (0.167, 0.833, 0.000)
Mg (0.171, 0.829, 0.500)
Mg (0.500, 0.500, 0.000)
Mg (0.829, 0.171, 0.500)
Mg (0.833, 0.167, 0.000)
Tl (0.500, 0.500, 0.500)

Computed properties:
For the formation energy, the calculation gives -0.165 eV/atom.


7.
Computed, not measured: a relaxed structure of VSi2Rh at the PBE level of DFT.

abc: 4.251 4.251 2.865
angles: 90.00 90.00 90.00
Element x y z (fractional)
V (0.000, 0.000, 0.000)
Si (0.000, 0.500, 0.500)
Si (0.500, 0.000, 0.500)
Rh (0.500, 0.500, 0.000)

Computed properties:
For the raw total energy, the calculation gives -29.3 eV for the cell shown.


8.
Computed, not measured: a relaxed structure of Ac2GaPdAu6 at the PBE level of DFT.

abc: 6.004 6.581 6.921
angles: 77.03 68.78 71.22
Element x y z (fractional)
Ac (0.175, 0.228, 0.238)
Ac (0.825, 0.772, 0.762)
Ga (0.500, 0.500, 0.500)
Pd (0.000, 0.000, 0.000)
Au (0.195, 0.718, 0.297)
Au (0.329, 0.617, 0.874)
Au (0.348, 0.147, 0.663)
Au (0.652, 0.853, 0.337)
Au (0.671, 0.383, 0.126)
Au (0.805, 0.282, 0.703)

Computed properties:
For the formation energy, the calculation gives -0.524 eV/atom.